## Cu6RhAu2 (PBE)

Data for a relaxed structure of Cu6RhAu2.

The value obtained for the calculated total energy is -4.251 eV per atom. For the density, the calculation gives 11.73 g cm⁻³. The calculated formation energy is 25 meV per atom. The value obtained for the offset from the most stable computed form is 0.000 eV/atom.

It has space group C2/m (No. 12), with a = 12.701 Å, b = 7.331 Å, c = 2.671 Å, α = 90.00°, β = 90.02° and γ = 90.00°. Symmetry generates all atoms from Cu at (0.000, 0.171, 0.000), Cu at (0.164, 0.336, 0.007), Rh at (0.000, 0.500, 0.500) and Au at (0.167, 0.000, 0.500).

## TbNdInRh (PBE)

Data for a relaxed structure of TbNdInRh.

The value obtained for the calculated total energy is -5.356 eV per atom. For the density, the calculation gives 8.74 g cm⁻³. The calculated formation energy is -484 meV per atom.

It has space group F-43m (No. 216), with a = 7.343 Å, b = 7.343 Å, c = 7.343 Å, α = 90.00°, β = 90.00° and γ = 90.00°. Symmetry generates all atoms from Tb at (0.000, 0.000, 0.000), Nd at (0.000, 0.000, 0.500), In at (0.250, 0.250, 0.750) and Rh at (0.250, 0.250, 0.250).

## Tb2GaFe (PBE)

Data for a relaxed structure of Tb2GaFe.

The value obtained for the calculated total energy is -5.356 eV per atom. For the density, the calculation gives 8.50 g cm⁻³. The calculated formation energy is -169 meV per atom. The value obtained for the offset from the most stable computed form is 0.040 eV/atom.

It has space group Fm-3m (No. 225), with a = 7.023 Å, b = 7.023 Å, c = 7.023 Å, α = 90.00°, β = 90.00° and γ = 90.00°. Symmetry generates all atoms from Tb at (0.250, 0.250, 0.250), Ga at (0.000, 0.000, 0.000) and Fe at (0.000, 0.000, 0.500).

## NaAcGaHg (PBE)

Data for a relaxed structure of NaAcGaHg.

The value obtained for the calculated total energy is -2.513 eV per atom. For the density, the calculation gives 7.65 g cm⁻³. The calculated formation energy is -323 meV per atom.

It has space group F-43m (No. 216), with a = 7.673 Å, b = 7.673 Å, c = 7.673 Å, α = 90.00°, β = 90.00° and γ = 90.00°. Symmetry generates all atoms from Na at (0.000, 0.000, 0.000), Ac at (0.000, 0.000, 0.500), Ga at (0.250, 0.250, 0.750) and Hg at (0.250, 0.250, 0.250).

## As2IrSe (PBE)

Data for a relaxed structure of As2IrSe.

The uncorrected formation energy comes out at -0.04 eV/atom. The value obtained for the calculated total energy is -5.451 eV per atom. For the density, the calculation gives 9.00 g cm⁻³.

It has space group Amm2 (No. 38), with a = 3.756 Å, b = 4.941 Å, c = 8.371 Å, α = 90.00°, β = 90.00° and γ = 90.00°. Symmetry generates all atoms from As at (0.000, 0.000, 0.000), As at (0.500, 0.000, 0.271), Ir at (0.000, 0.000, 0.471) and Se at (0.500, 0.000, 0.671).

## Y2TlHg6 (PBE)

Data for a relaxed structure of Y2TlHg6.

The value obtained for the calculated total energy is -2.139 eV per atom. For the density, the calculation gives 11.61 g cm⁻³. The calculated formation energy is -238 meV per atom.

It has space group C2/m (No. 12), with a = 15.196 Å, b = 8.781 Å, c = 3.401 Å, α = 90.00°, β = 90.03° and γ = 90.00°. Symmetry generates all atoms from Y at (0.167, 0.000, 0.000), Tl at (0.000, 0.500, 0.000), Hg at (0.000, 0.165, 0.500) and Hg at (0.167, 0.333, 0.497).

## SiBr2 (PBE)

Data for a relaxed structure of SiBr2.

The uncorrected formation energy comes out at -0.39 eV/atom. The value obtained for the calculated total energy is -3.314 eV per atom. For the density, the calculation gives 2.66 g cm⁻³.

It has space group P-1 (No. 2), with a = 5.796 Å, b = 6.339 Å, c = 6.694 Å, α = 83.73°, β = 73.68° and γ = 87.17°. Symmetry generates all atoms from Si at (0.166, 0.017, 0.077), Br at (0.066, 0.295, 0.273) and Br at (0.450, 0.160, 0.773).

## CaCoP2 (PBE)

Data for a relaxed structure of CaCoP2.

The value obtained for the calculated total energy is -5.684 eV per atom. For the density, the calculation gives 4.13 g cm⁻³. The calculated formation energy is -702 meV per atom. The value obtained for the offset from the most stable computed form is 0.000 eV/atom.

It has space group R-3m (No. 166, hexagonal axes), with a = 3.7266 Å, b = 3.7266 Å, c = 16.1605 Å, α = 90.00°, β = 90.00° and γ = 120.00°. Symmetry generates all atoms from Ca at (0.0000, 0.0000, 0.0000), Co at (0.0000, 0.0000, 0.5000) and P at (0.0000, 0.0000, 0.2165).